The following is a GGA-PBE calculation of crystalline Pr2PuPb at its relaxed geometry, from Alexandria via LeMat-Bulk.

The space group is P4/mmm (No. 123) and the conventional cell measures 5.080, 5.080 and 4.733 Å, with angles of 90.00, 90.00 and 90.00 degrees. The distinct sites, in fractional coordinates, are Pr at (0.000, 0.500, 0.000), Pu at (0.000, 0.000, 0.500) and Pb at (0.500, 0.500, 0.500).

The density of states at the Fermi level is 12.289 states/eV/cell. The theoretical density is 9.96 g cm⁻³. For the calculated volume, the calculation gives 122.2 Å³/f.u. The energy above the lowest structure with this stoichiometry is 0.00 kcal/mol of atoms.

=====

The following is a GGA-PBE calculation of crystalline PrPu2Pb9 at its relaxed geometry, from Alexandria via LeMat-Bulk.

The space group is P4/mmm (No. 123) and the conventional cell measures 4.892, 4.892 and 14.654 Å, with angles of 90.00, 90.00 and 90.00 degrees. The distinct sites, in fractional coordinates, are Pr at (0.000, 0.000, 0.000), Pu at (0.000, 0.000, 0.336), Pb at (0.000, 0.500, 0.171), Pb at (0.000, 0.500, 0.500), Pb at (0.500, 0.500, 0.000) and Pb at (0.500, 0.500, 0.335).

The density of states at the Fermi level is 25.013 states/eV/cell. The theoretical density is 11.81 g cm⁻³. For the calculated volume, the calculation gives 350.7 Å³/f.u. As for the calculated total energy: -5.8052 eV per atom.

=====

The following is a GGA-PBE calculation of crystalline Pr2PuPb at its relaxed geometry, from Alexandria via LeMat-Bulk.

The space group is R-3m (No. 166, hexagonal axes) and the conventional cell measures 3.4954, 3.4954 and 36.9164 Å, with angles of 90.00, 90.00 and 120.00 degrees. The distinct sites, in fractional coordinates, are Pr at (0.0000, 0.0000, 0.0905), Pu at (0.0000, 0.0000, 0.0000) and Pb at (0.0000, 0.0000, 0.5000).

The density of states at the Fermi level is 37.962 states/eV/cell. The theoretical density is 9.35 g cm⁻³. For the calculated volume, the calculation gives 130.2 Å³/f.u. The energy above the lowest structure with this stoichiometry is 7.98 kcal/mol of atoms.

=====

The following is a GGA-PBE calculation of crystalline Pr2PuPb at its relaxed geometry, from Alexandria via LeMat-Bulk.

The space group is P4/mmm (No. 123) and the conventional cell measures 4.188, 4.188 and 7.105 Å, with angles of 90.00, 90.00 and 90.00 degrees. The distinct sites, in fractional coordinates, are Pr at (0.000, 0.000, 0.235), Pu at (0.500, 0.500, 0.500) and Pb at (0.500, 0.500, 0.000).

The density of states at the Fermi level is 10.802 states/eV/cell. The theoretical density is 9.77 g cm⁻³. For the calculated volume, the calculation gives 124.6 Å³/f.u. The energy above the lowest structure with this stoichiometry is 2.21 kcal/mol of atoms.

=====

The following is a GGA-PBE calculation of crystalline PrPuPb4 at its relaxed geometry, from Alexandria via LeMat-Bulk.

The space group is F-43m (No. 216) and the conventional cell measures 9.104, 9.104 and 9.104 Å, with angles of 90.00, 90.00 and 90.00 degrees. The distinct sites, in fractional coordinates, are Pr at (0.000, 0.000, 0.000), Pu at (0.250, 0.250, 0.250) and Pb at (0.125, 0.125, 0.625).

The density of states at the Fermi level is 60.631 states/eV/cell. The theoretical density is 10.68 g cm⁻³. For the calculated volume, the calculation gives 188.7 Å³/f.u. As for the calculated total energy: -5.7386 eV per atom.

=====

The following is a GGA-PBE calculation of crystalline PrPu2Pb3 at its relaxed geometry, from Alexandria via LeMat-Bulk.

The space group is P4/mmm (No. 123) and the conventional cell measures 3.508, 3.508 and 14.058 Å, with angles of 90.00, 90.00 and 90.00 degrees. The distinct sites, in fractional coordinates, are Pr at (0.000, 0.000, 0.000), Pu at (0.000, 0.000, 0.335), Pb at (0.500, 0.500, 0.171) and Pb at (0.500, 0.500, 0.500).

The density of states at the Fermi level is 16.822 states/eV/cell. The theoretical density is 12.01 g cm⁻³. For the calculated volume, the calculation gives 173.0 Å³/f.u. As for the calculated total energy: -7.7096 eV per atom.